# Pr2Sm2CI5 (GGA-PBE, optimized geometry)
data_Pr2Sm2CI5
_chemical_formula_sum 'Pr4 Sm4 C2 I10'
_cell_length_a 19.298
_cell_length_b 4.070
_cell_length_c 8.866
_cell_angle_alpha 90.00
_cell_angle_beta 103.06
_cell_angle_gamma 90.00
_space_group_name_H-M_alt 'C 1 2/m 1'
_space_group_IT_number 12
loop_
_space_group_symop_operation_xyz
'x,y,z'
'-x,-y,-z'
'-x,y,-z'
'x,-y,z'
'x+1/2,y+1/2,z'
'-x+1/2,-y+1/2,-z'
'-x+1/2,y+1/2,-z'
'x+1/2,-y+1/2,z'
loop_
_atom_site_label
_atom_site_type_symbol
_atom_site_fract_x
_atom_site_fract_y
_atom_site_fract_z
Pr1 Pr 0.136 0.000 0.068
Sm1 Sm 0.001 0.500 0.809
C1 C 0.000 0.000 0.000
I1 I 0.000 0.000 0.500
I2 I 0.163 0.500 0.349
I3 I 0.168 0.500 0.814
# - Total DFT energy (no corrections): -4.713 eV per atom
# - Density: 6.0 g/cm³
# - Energy above the lowest structure with this stoichiometry: 0.06 eV/f.u.